Entry w
First-principles (GGA-PBE) data for CaSiGe after structural relaxation, as listed in Alexandria via LeMat-Bulk.

Cell: 6.314 3.918 5.691 Å, 90.00 90.00 90.00°
Element x y z (fractional)
Ca1 0.500 0.500 0.190
Si1 0.193 0.000 0.938
Ge1 0.296 0.500 0.692
Ge2 0.704 0.500 0.692
Ca2 0.000 0.000 0.435
Si2 0.807 0.000 0.938

## Properties
Density ... 3.32 Mg/m³
Spin magnetization ... 0.00 μB per cell
DOS(E_F) ... 0.6 states/eV/f.u.
Volume ... 23.463 A^3/atom

Entry x
First-principles (GGA-PBE) data for CaSiGe after structural relaxation, as listed in Alexandria via LeMat-Bulk.

Cell: 4.761 4.454 7.755 Å, 106.69 107.88 90.00°
Element x y z (fractional)
Ca1 0.641 0.141 0.281
Si1 0.736 0.500 0.000
Ge1 0.148 0.648 0.295
Si2 0.264 0.500 0.000
Ge2 0.852 0.352 0.705
Ca2 0.359 0.859 0.719

## Properties
Density ... 3.13 Mg/m³
Spin magnetization ... 0.00 μB per cell
DOS(E_F) ... 1.5 states/eV/f.u.
Volume ... 24.869 A^3/atom

Q: Which of them is the most stable? A: entry w.

Entry w
First-principles (GGA-PBE) data for CaSiGe after structural relaxation, as listed in Alexandria via LeMat-Bulk.

Cell: 3.920 3.920 31.694 Å, 90.00 90.00 120.00°
Element x y z (fractional)
Ca1 0.667 0.333 0.833
Ge1 0.333 0.667 0.067
Si1 0.000 0.000 0.900
Ge2 0.667 0.333 0.933
Ca2 0.000 0.000 0.000
Si2 0.000 0.000 0.100
Ca3 0.667 0.333 0.333
Si3 0.333 0.667 0.567
Si4 0.333 0.667 0.767
Ca4 0.333 0.667 0.167
Ca5 0.000 0.000 0.500
Ge3 0.667 0.333 0.733
Ca6 0.333 0.667 0.667
Si5 0.667 0.333 0.233
Ge4 0.333 0.667 0.267
Si6 0.667 0.333 0.433
Ge5 0.000 0.000 0.600
Ge6 0.000 0.000 0.400

## Properties
Density ... 3.33 Mg/m³
Spin magnetization ... 0.00 μB per cell
DOS(E_F) ... 0.4 states/eV/f.u.
Volume ... 23.437 A^3/atom

Entry x
First-principles (GGA-PBE) data for CaSiGe after structural relaxation, as listed in Alexandria via LeMat-Bulk.

Cell: 4.194 4.262 4.262 Å, 120.00 90.00 90.00°
Element x y z (fractional)
Ge1 0.167 0.000 0.000
Si1 0.166 0.667 0.333
Ca1 0.667 0.333 0.667

## Properties
Density ... 3.54 Mg/m³
Spin magnetization ... 0.00 μB per cell
DOS(E_F) ... 1.1 states/eV/f.u.
Volume ... 21.990 A^3/atom

Q: Which of them is the most stable? A: entry w.

Entry w
First-principles (GGA-PBE) data for Ca3Si2Ge4 after structural relaxation, as listed in Alexandria via LeMat-Bulk.

Cell: 4.340 6.002 8.689 Å, 107.20 90.00 111.20°
Element x y z (fractional)
Si1 0.702 0.404 0.357
Si2 0.298 0.596 0.643
Ge1 0.899 0.798 0.606
Ge2 0.287 0.575 0.935
Ge3 0.713 0.425 0.065
Ca1 0.612 0.224 0.695
Ca2 0.000 0.000 0.000
Ca3 0.388 0.776 0.305
Ge4 0.101 0.202 0.394

## Properties
Density ... 3.87 Mg/m³
Spin magnetization ... 0.00 μB per cell
DOS(E_F) ... 2.7 states/eV/f.u.
Volume ... 22.236 A^3/atom

Entry x
First-principles (GGA-PBE) data for Ca3Si2Ge4 after structural relaxation, as listed in Alexandria via LeMat-Bulk.

Cell: 3.977 6.185 9.177 Å, 104.83 90.00 108.75°
Element x y z (fractional)
Ca1 0.000 0.000 0.000
Si1 0.614 0.227 0.270
Si2 0.386 0.773 0.730
Ge1 0.280 0.561 0.935
Ge2 0.720 0.439 0.065
Ge3 0.057 0.114 0.388
Ge4 0.943 0.886 0.612
Ca2 0.334 0.668 0.337
Ca3 0.666 0.332 0.663

## Properties
Density ... 3.77 Mg/m³
Spin magnetization ... 0.00 μB per cell
DOS(E_F) ... 3.2 states/eV/f.u.
Volume ... 22.863 A^3/atom

Q: Which of them is the most stable? A: entry x.

Entry w
First-principles (GGA-PBE) data for Ca2TiSiGe after structural relaxation, as listed in Alexandria via LeMat-Bulk.

Cell: 5.512 4.822 5.512 Å, 90.00 90.00 90.00°
Element x y z (fractional)
Si1 0.000 0.000 0.000
Ti1 0.500 0.500 0.500
Ge1 0.000 0.500 0.000
Ca1 0.000 0.000 0.500
Ca2 0.500 0.000 0.000

## Properties
Density ... 2.59 Mg/m³
Spin magnetization ... 0.00 μB per cell
DOS(E_F) ... 12.7 states/eV/f.u.
Volume ... 29.305 A^3/atom

Entry x
First-principles (GGA-PBE) data for Ca2TiSiGe after structural relaxation, as listed in Alexandria via LeMat-Bulk.

Cell: 5.581 4.881 5.581 Å, 90.00 90.00 90.00°
Element x y z (fractional)
Ge1 0.000 0.500 0.000
Ti1 0.000 0.000 0.000
Ca1 0.000 0.000 0.500
Ca2 0.500 0.000 0.000
Si1 0.500 0.500 0.500

## Properties
Density ... 2.50 Mg/m³
Spin magnetization ... 2.29 μB per cell
DOS(E_F) ... 5.3 states/eV/f.u.
Volume ... 30.414 A^3/atom

Q: Which of them is the most stable? A: entry w.

Entry w
First-principles (GGA-PBE) data for CaSn3Ge after structural relaxation, as listed in Alexandria via LeMat-Bulk.

Cell: 5.697 5.697 5.697 Å, 90.00 90.00 90.00°
Element x y z (fractional)
Sn1 0.000 0.500 0.000
Sn2 0.000 0.000 0.500
Sn3 0.500 0.000 0.000
Ca1 0.000 0.000 0.000
Ge1 0.500 0.500 0.500

## Properties
Density ... 4.21 Mg/m³
Spin magnetization ... 0.07 μB per cell
DOS(E_F) ... 7.4 states/eV/f.u.
Volume ... 36.982 A^3/atom

Entry x
First-principles (GGA-PBE) data for CaSn3Ge after structural relaxation, as listed in Alexandria via LeMat-Bulk.

Cell: 5.402 5.402 5.402 Å, 90.00 90.00 90.00°
Element x y z (fractional)
Ge1 0.000 0.000 0.000
Sn1 0.000 0.000 0.500
Ca1 0.500 0.500 0.500
Sn2 0.000 0.500 0.000
Sn3 0.500 0.000 0.000

## Properties
Density ... 4.94 Mg/m³
Spin magnetization ... 0.00 μB per cell
DOS(E_F) ... 3.8 states/eV/f.u.
Volume ... 31.522 A^3/atom

Q: Which of them is the most stable? A: entry x.

Entry w
First-principles (GGA-PBE) data for Ca3SnGe after structural relaxation, as listed in Alexandria via LeMat-Bulk.

Cell: 8.687 8.687 6.826 Å, 50.48 50.48 60.00°
Element x y z (fractional)
Ge1 0.400 0.400 0.799
Ca1 0.259 0.958 0.244
Ca2 0.540 0.259 0.244
Ca3 0.460 0.741 0.756
Ge2 0.600 0.600 0.201
Ca4 0.741 0.042 0.756
Sn1 0.893 0.893 0.321
Sn2 0.107 0.107 0.679
Ca5 0.042 0.460 0.756
Ca6 0.958 0.540 0.244

## Properties
Density ... 3.42 Mg/m³
Spin magnetization ... 0.00 μB per cell
DOS(E_F) ... 1.2 states/eV/f.u.
Volume ... 30.257 A^3/atom

Entry x
First-principles (GGA-PBE) data for Ca3SnGe after structural relaxation, as listed in Alexandria via LeMat-Bulk.

Cell: 5.600 5.600 5.600 Å, 90.00 90.00 90.00°
Element x y z (fractional)
Ge1 0.000 0.000 0.000
Ca1 0.000 0.500 0.000
Sn1 0.500 0.500 0.500
Ca2 0.000 0.000 0.500
Ca3 0.500 0.000 0.000

## Properties
Density ... 2.95 Mg/m³
Spin magnetization ... 0.00 μB per cell
DOS(E_F) ... 7.9 states/eV/f.u.
Volume ... 35.114 A^3/atom

Q: Which of them is the most stable? A: entry w.

Entry w
First-principles (GGA-PBE) data for CaSn2Ge2 after structural relaxation, as listed in Alexandria via LeMat-Bulk.

Cell: 7.877 7.877 4.048 Å, 90.00 90.00 90.00°
Element x y z (fractional)
Sn1 0.156 0.656 0.500
Ge1 0.623 0.123 0.000
Ca1 0.500 0.500 0.000
Ca2 0.000 0.000 0.000
Sn2 0.344 0.156 0.500
Ge2 0.377 0.877 0.000
Sn3 0.844 0.344 0.500
Ge3 0.123 0.377 0.000
Sn4 0.656 0.844 0.500
Ge4 0.877 0.623 0.000

## Properties
Density ... 5.59 Mg/m³
Spin magnetization ... 0.00 μB per cell
DOS(E_F) ... 2.1 states/eV/f.u.
Volume ... 25.114 A^3/atom

Entry x
First-principles (GGA-PBE) data for CaSn2Ge2 after structural relaxation, as listed in Alexandria via LeMat-Bulk.

Cell: 4.465 4.465 7.412 Å, 72.47 72.47 90.00°
Element x y z (fractional)
Sn1 0.750 0.250 0.500
Ge1 0.592 0.592 0.816
Ge2 0.408 0.408 0.184
Sn2 0.250 0.750 0.500
Ca1 0.000 0.000 0.000

## Properties
Density ... 5.25 Mg/m³
Spin magnetization ... 0.00 μB per cell
DOS(E_F) ... 2.9 states/eV/f.u.
Volume ... 26.733 A^3/atom

Q: Which of them is the most stable? A: entry w.

Entry w
First-principles (GGA-PBE) data for SrCaGe3 after structural relaxation, as listed in Alexandria via LeMat-Bulk.

Cell: 5.367 5.367 5.367 Å, 90.00 90.00 90.00°
Element x y z (fractional)
Sr1 0.500 0.500 0.500
Ge1 0.000 0.500 0.000
Ge2 0.000 0.000 0.500
Ge3 0.500 0.000 0.000
Ca1 0.000 0.000 0.000

## Properties
Density ... 3.71 Mg/m³
Spin magnetization ... 0.00 μB per cell
DOS(E_F) ... 5.8 states/eV/f.u.
Volume ... 30.919 A^3/atom

Entry x
First-principles (GGA-PBE) data for SrCaGe3 after structural relaxation, as listed in Alexandria via LeMat-Bulk.

Cell: 4.130 4.563 13.979 Å, 99.39 90.00 90.00°
Element x y z (fractional)
Ge1 0.750 0.627 0.253
Sr1 0.250 0.077 0.153
Ge2 0.750 0.316 0.633
Ge3 0.250 0.373 0.747
Ge4 0.750 0.527 0.053
Ca1 0.750 0.204 0.408
Ge5 0.250 0.473 0.947
Ca2 0.250 0.796 0.592
Ge6 0.250 0.684 0.367
Sr2 0.750 0.923 0.847

## Properties
Density ... 4.42 Mg/m³
Spin magnetization ... 0.00 μB per cell
DOS(E_F) ... 2.7 states/eV/f.u.
Volume ... 25.990 A^3/atom

Q: Which of them is the most stable? A: entry x.

Entry w
First-principles (GGA-PBE) data for SrCa2Ge2 after structural relaxation, as listed in Alexandria via LeMat-Bulk.

Cell: 8.936 8.936 3.579 Å, 90.00 90.00 90.00°
Element x y z (fractional)
Ca1 0.631 0.869 0.500
Ge1 0.830 0.670 0.000
Sr1 0.000 0.000 0.000
Ge2 0.330 0.830 0.000
Ca2 0.869 0.369 0.500
Ca3 0.369 0.131 0.500
Ge3 0.670 0.170 0.000
Ca4 0.131 0.631 0.500
Ge4 0.170 0.330 0.000
Sr2 0.500 0.500 0.000

## Properties
Density ... 3.64 Mg/m³
Spin magnetization ... 0.00 μB per cell
DOS(E_F) ... 3.0 states/eV/f.u.
Volume ... 28.579 A^3/atom

Entry x
First-principles (GGA-PBE) data for SrCa2Ge2 after structural relaxation, as listed in Alexandria via LeMat-Bulk.

Cell: 5.490 5.490 6.672 Å, 65.71 65.71 90.00°
Element x y z (fractional)
Ge1 0.250 0.750 0.500
Ge2 0.750 0.250 0.500
Sr1 0.000 0.000 0.000
Ca1 0.336 0.336 0.329
Ca2 0.664 0.664 0.671

## Properties
Density ... 3.18 Mg/m³
Spin magnetization ... 0.00 μB per cell
DOS(E_F) ... 2.7 states/eV/f.u.
Volume ... 32.713 A^3/atom

Q: Which of them is the most stable? A: entry w.

Entry w
First-principles (GGA-PBE) data for Sr3CaGe after structural relaxation, as listed in Alexandria via LeMat-Bulk.

Cell: 6.380 6.380 6.380 Å, 90.00 90.00 90.00°
Element x y z (fractional)
Sr1 0.000 0.000 0.500
Ge1 0.500 0.500 0.500
Ca1 0.000 0.000 0.000
Sr2 0.500 0.000 0.000
Sr3 0.000 0.500 0.000

## Properties
Density ... 2.40 Mg/m³
Spin magnetization ... 1.87 μB per cell
DOS(E_F) ... 3.5 states/eV/f.u.
Volume ... 51.949 A^3/atom

Entry x
First-principles (GGA-PBE) data for Sr3CaGe after structural relaxation, as listed in Alexandria via LeMat-Bulk.

Cell: 6.198 6.198 6.198 Å, 90.00 90.00 90.00°
Element x y z (fractional)
Sr1 0.500 0.000 0.000
Ca1 0.500 0.500 0.500
Sr2 0.000 0.500 0.000
Ge1 0.000 0.000 0.000
Sr3 0.000 0.000 0.500

## Properties
Density ... 2.62 Mg/m³
Spin magnetization ... 1.59 μB per cell
DOS(E_F) ... 7.0 states/eV/f.u.
Volume ... 47.623 A^3/atom

Q: Which of them is the most stable? A: entry x.

Entry w
First-principles (GGA-PBE) data for CaTcGe2 after structural relaxation, as listed in Alexandria via LeMat-Bulk.

Cell: 3.409 3.409 8.107 Å, 77.86 77.86 60.00°
Element x y z (fractional)
Ge1 0.263 0.263 0.210
Ge2 0.737 0.737 0.790
Ca1 0.500 0.500 0.500
Tc1 0.000 0.000 0.000

## Properties
Density ... 5.94 Mg/m³
Spin magnetization ... 0.00 μB per cell
DOS(E_F) ... 1.8 states/eV/f.u.
Volume ... 19.787 A^3/atom

Entry x
First-principles (GGA-PBE) data for CaTcGe2 after structural relaxation, as listed in Alexandria via LeMat-Bulk.

Cell: 3.227 3.227 7.021 Å, 90.00 90.00 90.00°
Element x y z (fractional)
Ge1 0.000 0.000 0.804
Ca1 0.500 0.500 0.500
Tc1 0.500 0.500 0.000
Ge2 0.000 0.000 0.196

## Properties
Density ... 6.43 Mg/m³
Spin magnetization ... 0.00 μB per cell
DOS(E_F) ... 1.7 states/eV/f.u.
Volume ... 18.280 A^3/atom

Q: Which of them is the most stable? A: entry x.

Entry w
First-principles (GGA-PBE) data for CaTc3Ge3 after structural relaxation, as listed in Alexandria via LeMat-Bulk.

Cell: 4.442 8.329 8.329 Å, 120.00 90.00 90.00°
Element x y z (fractional)
Tc1 0.750 0.952 0.792
Tc2 0.250 0.160 0.952
Ca1 0.750 0.667 0.333
Ge1 0.750 0.604 0.691
Ge2 0.750 0.309 0.913
Tc3 0.750 0.208 0.160
Ca2 0.250 0.333 0.667
Ge3 0.250 0.396 0.309
Ge4 0.750 0.087 0.396
Tc4 0.250 0.048 0.208
Tc5 0.250 0.792 0.840
Ge5 0.250 0.691 0.087
Ge6 0.250 0.913 0.604
Tc6 0.750 0.840 0.048

## Properties
Density ... 6.87 Mg/m³
Spin magnetization ... 0.00 μB per cell
DOS(E_F) ... 6.2 states/eV/f.u.
Volume ... 19.061 A^3/atom

Entry x
First-principles (GGA-PBE) data for CaTc3Ge3 after structural relaxation, as listed in Alexandria via LeMat-Bulk.

Cell: 6.816 6.816 6.816 Å, 90.00 90.00 90.00°
Element x y z (fractional)
Tc1 0.500 0.750 0.000
Tc2 0.750 0.000 0.500
Ge1 0.250 0.500 0.000
Ge2 0.000 0.750 0.500
Tc3 0.000 0.500 0.750
Ca1 0.000 0.000 0.000
Ca2 0.500 0.500 0.500
Tc4 0.000 0.500 0.250
Ge3 0.500 0.000 0.750
Ge4 0.000 0.250 0.500
Tc5 0.500 0.250 0.000
Ge5 0.750 0.500 0.000
Tc6 0.250 0.000 0.500
Ge6 0.500 0.000 0.250

## Properties
Density ... 5.79 Mg/m³
Spin magnetization ... 6.11 μB per cell
DOS(E_F) ... 1.7 states/eV/f.u.
Volume ... 22.622 A^3/atom

Q: Which of them is the most stable? A: entry w.